Density functional theory data (PBE-GGA) for an optimized crystal structure of MgZr2Ta.

Summary:
**V**: 86 Å³/cell
**DOS(E_F)**: 4.6 states/eV/f.u.
**Space-group type**: P2/m, No. 10
**Energy of formation from the pure elements**: 77 meV per atom

Geometry as CIF:
```
data_MgZr2Ta
_chemical_formula_sum 'Mg1 Zr2 Ta1'
_cell_length_a 3.786
_cell_length_b 3.168
_cell_length_c 7.841
_cell_angle_alpha 66.23
_cell_angle_beta 90.00
_cell_angle_gamma 90.00
_space_group_name_H-M_alt 'P 1'
_space_group_IT_number 1
loop_
_space_group_symop_operation_xyz
'x,y,z'
loop_
_atom_site_label
_atom_site_type_symbol
_atom_site_fract_x
_atom_site_fract_y
_atom_site_fract_z
Mg1 Mg 0.500 0.250 0.250
Zr1 Zr 0.000 0.485 0.516
Zr2 Zr 0.000 0.015 0.984
Ta1 Ta 0.500 0.750 0.750
```